Compound: YHo2Th3
Source: Alexandria via LeMat-Bulk
Functional: PBE-GGA
Structure: relaxed

The value obtained for the energy is -148.464 eV per cell. As for the density of states at the Fermi level: 1.5313 states/eV/atom. As for the density: 9.55 g/cm³.

The space group is C2/m (No. 12) and the conventional cell measures 15.4816, 6.0187 and 9.3358 Å, with angles of 90.00, 116.98 and 90.00 degrees. Symmetry generates all atoms from Y at (0.1279, 0.0000, 0.1239), Ho at (0.0381, 0.5000, 0.2104), Ho at (0.2067, 0.0000, 0.5465), Th at (0.0457, 0.0000, 0.7030), Th at (0.1200, 0.5000, 0.6273) and Th at (0.2126, 0.5000, 0.0364).